No. 1
Computed, not measured: an optimized crystal structure of TaAlGa at the PBE level of DFT.

Lattice parameters (Å, degrees): 3.771 3.870 7.013 106.02 90.00 90.00
Fractional coordinates of all 6 atoms:
Ta (0.250, 0.089, 0.177)
Ta (0.750, 0.911, 0.823)
Al (0.250, 0.750, 0.500)
Al (0.750, 0.250, 0.500)
Ga (0.250, 0.426, 0.851)
Ga (0.750, 0.574, 0.149)

Properties
For the energy of formation, the calculation gives -0.23 eV/atom. Its space-group type is Cmcm (63). Its crystal system is orthorhombic.

---

No. 2
Computed, not measured: an optimized crystal structure of TaAl2Ga at the PBE level of DFT.

Lattice parameters (Å, degrees): 5.469 5.134 9.255 90.00 90.00 90.00
Fractional coordinates of all 16 atoms:
Ta (0.186, 0.860, 0.381)
Ta (0.686, 0.140, 0.619)
Ta (0.686, 0.640, 0.881)
Ta (0.186, 0.360, 0.119)
Al (0.187, 0.649, 0.870)
Al (0.687, 0.351, 0.130)
Al (0.687, 0.851, 0.370)
Al (0.187, 0.149, 0.630)
Al (0.442, 0.147, 0.881)
Al (0.942, 0.853, 0.119)
Al (0.942, 0.353, 0.381)
Al (0.442, 0.647, 0.619)
Ga (0.935, 0.146, 0.880)
Ga (0.435, 0.854, 0.120)
Ga (0.435, 0.354, 0.380)
Ga (0.935, 0.646, 0.620)

Properties
For the energy of formation, the calculation gives -0.20 eV/atom. Its space-group type is Pna2_1 (33). Its crystal system is orthorhombic.